Record 1
Entry from the Alexandria database: a relaxed ZnSiHg2 crystal (PBE-GGA).

```
data_ZnSiHg2
_chemical_formula_sum 'Zn2 Si2 Hg4'
_symmetry_space_group_name_H-M 'I m m m'
_symmetry_Int_Tables_number 71
_symmetry_space_group_name_Hall '-I 2 2'
_cell_length_a 3.392
_cell_length_b 5.563
_cell_length_c 8.950
_cell_angle_alpha 90.00
_cell_angle_beta 90.00
_cell_angle_gamma 90.00
loop_
_atom_site_label
_atom_site_type_symbol
_atom_site_fract_x
_atom_site_fract_y
_atom_site_fract_z
_atom_site_occupancy
Zn1 Zn 0.000 0.000 0.000 1
Si1 Si 0.000 0.000 0.500 1
Hg1 Hg 0.000 0.500 0.251 1
```

Results
ΔE to the lowest computed polymorph = 0.1692 eV/atom
Volume = 168.90 Å³ per cell

Record 2
Entry from the Alexandria database: a relaxed Tb12Pr5Sm2 crystal (PBE-GGA).

```
data_Tb12Pr5Sm2
_chemical_formula_sum 'Tb24 Pr10 Sm4'
_symmetry_space_group_name_H-M 'C 1 2/m 1'
_symmetry_Int_Tables_number 12
_cell_length_a 17.994
_cell_length_b 9.210
_cell_length_c 8.753
_cell_angle_alpha 90.00
_cell_angle_beta 116.49
_cell_angle_gamma 90.00
loop_
_symmetry_equiv_pos_as_xyz
'x,y,z'
'-x,-y,-z'
'-x,y,-z'
'x,-y,z'
'x+1/2,y+1/2,z'
'-x+1/2,-y+1/2,-z'
'-x+1/2,y+1/2,-z'
'x+1/2,-y+1/2,z'
loop_
_atom_site_label
_atom_site_type_symbol
_atom_site_fract_x
_atom_site_fract_y
_atom_site_fract_z
_atom_site_occupancy
Tb1 Tb 0.046 0.000 0.184 1
Tb2 Tb 0.068 0.500 0.723 1
Tb3 Tb 0.124 0.281 0.453 1
Tb4 Tb 0.146 0.183 0.911 1
Pr1 Pr 0.000 0.000 0.500 1
Pr2 Pr 0.217 0.500 0.228 1
Pr3 Pr 0.237 0.000 0.299 1
Sm1 Sm 0.000 0.328 0.000 1
```

Results
Formation enthalpy at 0 K = 4.0 eV per formula unit
Volume = 1298.34 Å³ per cell

Record 3
Entry from the Alexandria database: a relaxed Pr6POs2Cl3 crystal (PBE-GGA).

```
data_Pr6POs2Cl3
_chemical_formula_sum 'Pr12 P2 Os4 Cl6'
_symmetry_space_group_name_H-M 'C 1 2/m 1'
_symmetry_Int_Tables_number 12
_cell_length_a 7.257
_cell_length_b 12.572
_cell_length_c 7.802
_cell_angle_alpha 90.00
_cell_angle_beta 108.17
_cell_angle_gamma 90.00
loop_
_symmetry_equiv_pos_as_xyz
'x,y,z'
'-x,-y,-z'
'-x,y,-z'
'x,-y,z'
'x+1/2,y+1/2,z'
'-x+1/2,-y+1/2,-z'
'-x+1/2,y+1/2,-z'
'x+1/2,-y+1/2,z'
loop_
_atom_site_label
_atom_site_type_symbol
_atom_site_fract_x
_atom_site_fract_y
_atom_site_fract_z
_atom_site_occupancy
Pr1 Pr 0.224 0.000 0.207 1
Pr2 Pr 0.240 0.328 0.208 1
P1 P 0.000 0.500 0.000 1
Os1 Os 0.000 0.167 0.000 1
Cl1 Cl 0.000 0.000 0.500 1
Cl2 Cl 0.000 0.337 0.500 1
```

Results
Total DFT energy (no corrections) = -0.4560 Ry per atom
Volume = 676.30 Å³ per cell

Record 4
Entry from the Alexandria database: a relaxed Nd8Dy6Ho crystal (PBE-GGA).

```
data_Nd8Dy6Ho
_chemical_formula_sum 'Nd8 Dy6 Ho1'
_symmetry_space_group_name_H-M 'P -3'
_symmetry_Int_Tables_number 147
_cell_length_a 9.4479
_cell_length_b 9.4479
_cell_length_c 6.5914
_cell_angle_alpha 90.00
_cell_angle_beta 90.00
_cell_angle_gamma 120.00
loop_
_symmetry_equiv_pos_as_xyz
'x,y,z'
'-x,-y,-z'
'-y,x-y,z'
'y,-x+y,-z'
'-x+y,-x,z'
'x-y,x,-z'
loop_
_atom_site_label
_atom_site_type_symbol
_atom_site_fract_x
_atom_site_fract_y
_atom_site_fract_z
_atom_site_occupancy
Nd1 Nd 0.0359 0.2862 0.3332 1
Nd2 Nd 0.3333 0.6667 0.3802 1
Dy1 Dy 0.0930 0.4366 0.8426 1
Ho1 Ho 0.0000 0.0000 0.0000 1
```

Results
Formation enthalpy at 0 K = 2.6 eV per formula unit
ΔE to the lowest computed polymorph = 0.0503 eV/atom
Volume = 509.54 Å³ per cell

Record 5
Entry from the Alexandria database: a relaxed TbPr5Sm4 crystal (PBE-GGA).

```
data_TbPr5Sm4
_chemical_formula_sum 'Tb1 Pr5 Sm4'
_symmetry_space_group_name_H-M 'P -1'
_symmetry_Int_Tables_number 2
_cell_length_a 3.596
_cell_length_b 8.899
_cell_length_c 11.523
_cell_angle_alpha 107.46
_cell_angle_beta 92.22
_cell_angle_gamma 94.77
loop_
_symmetry_equiv_pos_as_xyz
'x,y,z'
'-x,-y,-z'
loop_
_atom_site_label
_atom_site_type_symbol
_atom_site_fract_x
_atom_site_fract_y
_atom_site_fract_z
_atom_site_occupancy
Tb1 Tb 0.000 0.000 0.000 1
Pr1 Pr 0.000 0.000 0.500 1
Pr2 Pr 0.280 0.588 0.404 1
Pr3 Pr 0.457 0.216 0.817 1
Sm1 Sm 0.017 0.401 0.101 1
Sm2 Sm 0.430 0.800 0.715 1
```

Results
Formation enthalpy at 0 K = 0.7 eV per formula unit
ΔE to the lowest computed polymorph = 0.0000 eV/atom
Volume = 349.69 Å³ per cell

Record 6
Entry from the Alexandria database: a relaxed KCuO crystal (PBE-GGA).

```
data_KCuO
_chemical_formula_sum 'K2 Cu2 O2'
_symmetry_space_group_name_H-M 'P 1'
_symmetry_Int_Tables_number 1
_cell_length_a 4.416
_cell_length_b 4.416
_cell_length_c 7.784
_cell_angle_alpha 73.52
_cell_angle_beta 89.99
_cell_angle_gamma 60.01
loop_
_symmetry_equiv_pos_as_xyz
'x,y,z'
loop_
_atom_site_label
_atom_site_type_symbol
_atom_site_fract_x
_atom_site_fract_y
_atom_site_fract_z
_atom_site_occupancy
K1 K 0.000 0.000 0.000 1
K2 K 0.228 0.542 0.686 1
Cu1 Cu 0.435 0.130 0.309 1
Cu2 Cu 0.790 0.417 0.377 1
O1 O 0.357 0.287 0.069 1
O2 O 0.872 0.254 0.617 1
```

Results
Total DFT energy (no corrections) = -0.2913 Ry per atom
Volume = 124.21 Å³ per cell

Record 7
Entry from the Alexandria database: a relaxed Hf2TlF8 crystal (PBE-GGA).

```
data_Hf2TlF8
_chemical_formula_sum 'Hf4 Tl2 F16'
_symmetry_space_group_name_H-M 'C 1 2/m 1'
_symmetry_Int_Tables_number 12
_cell_length_a 6.738
_cell_length_b 10.418
_cell_length_c 4.218
_cell_angle_alpha 90.00
_cell_angle_beta 98.87
_cell_angle_gamma 90.00
loop_
_symmetry_equiv_pos_as_xyz
'x,y,z'
'-x,-y,-z'
'-x,y,-z'
'x,-y,z'
'x+1/2,y+1/2,z'
'-x+1/2,-y+1/2,-z'
'-x+1/2,y+1/2,-z'
'x+1/2,-y+1/2,z'
loop_
_atom_site_label
_atom_site_type_symbol
_atom_site_fract_x
_atom_site_fract_y
_atom_site_fract_z
_atom_site_occupancy
Hf1 Hf 0.000 0.177 0.000 1
Tl1 Tl 0.000 0.500 0.500 1
F1 F 0.000 0.221 0.500 1
F2 F 0.084 0.000 0.254 1
F3 F 0.190 0.351 0.061 1
```

Results
ΔE to the lowest computed polymorph = 0.0378 eV/atom
Volume = 292.57 Å³ per cell

Record 8
Entry from the Alexandria database: a relaxed AgOsO2 crystal (PBE-GGA).

```
data_AgOsO2
_chemical_formula_sum 'Ag4 Os4 O8'
_symmetry_space_group_name_H-M 'I -4 2 d'
_symmetry_Int_Tables_number 122
_symmetry_space_group_name_Hall 'I -4 2bw'
_cell_length_a 4.455
_cell_length_b 4.455
_cell_length_c 11.729
_cell_angle_alpha 90.00
_cell_angle_beta 90.00
_cell_angle_gamma 90.00
loop_
_atom_site_label
_atom_site_type_symbol
_atom_site_fract_x
_atom_site_fract_y
_atom_site_fract_z
_atom_site_occupancy
Ag1 Ag 0.000 0.000 0.000 1
Os1 Os 0.000 0.000 0.500 1
O1 O 0.152 0.250 0.625 1
```

Results
Total DFT energy (no corrections) = -0.4367 Ry per atom
Volume = 232.74 Å³ per cell